This record from Alexandria describes a relaxed K4NaMn3F12 crystal. The functional is GGA+U.

Unit cell a=8.479 b=8.479 c=8.479 alpha=90.00 beta=90.00 gamma=90.00
Space group Im-3m (No. 229)
One atom of each set of equivalent atoms:
1 K 0.250 0.250 0.250 [8 per cell]
2 Na 0.000 0.000 0.000 [2 per cell]
3 Mn 0.000 0.000 0.500 [6 per cell]
4 F 0.000 0.000 0.266 [12 per cell]
5 F 0.000 0.250 0.500 [12 per cell]

Calculated values
The crystal system is cubic. The value obtained for the raw total energy is -105.5 eV/f.u. The calculation puts the density of states at the Fermi level at 11.349 states/eV/cell.